# 1
Computed, not measured: an optimized crystal structure of LaZrTa2 at the PBE level of DFT.

a b c (Å): 3.0574 4.5335 6.6567
angles (deg): 90.00 90.00 90.00
Atoms (fractional coordinates):
Zr (0.0000, 0.0000, 0.4647)
Ta (0.5000, 0.5000, 0.2349)
Ta (0.0000, 0.0000, 0.0438)
La (0.5000, 0.5000, 0.7566)

Results
Crystal system: orthorhombic
Formation enthalpy at 0 K, eV/atom: 0.423
Space-group type: Pmm2 (25)
Energy, eV for the cell shown: -35.5



# 2
Computed, not measured: an optimized crystal structure of La2Nd6SmHo at the PBE level of DFT.

a b c (Å): 10.1417 8.9437 8.9437
angles (deg): 117.87 95.22 95.22
Atoms (fractional coordinates):
Sm (0.7500, 0.0122, 0.9878)
Sm (0.2500, 0.9878, 0.0122)
Nd (0.3793, 0.5023, 0.2975)
Nd (0.4444, 0.2597, 0.8791)
Nd (0.6890, 0.0176, 0.5792)
Nd (0.3110, 0.9824, 0.4208)
Nd (0.9444, 0.8791, 0.2597)
Nd (0.8793, 0.2975, 0.5023)
Nd (0.1207, 0.7025, 0.4977)
Nd (0.0556, 0.1209, 0.7403)
Nd (0.1890, 0.5792, 0.0176)
Nd (0.8110, 0.4208, 0.9824)
Nd (0.6207, 0.4977, 0.7025)
Nd (0.5556, 0.7403, 0.1209)
La (0.5409, 0.1933, 0.2900)
La (0.0409, 0.2900, 0.1933)
La (0.9591, 0.7100, 0.8067)
La (0.4591, 0.8067, 0.7100)
Ho (0.7500, 0.5947, 0.4053)
Ho (0.2500, 0.4053, 0.5947)

Results
Crystal system: monoclinic
Formation enthalpy at 0 K, eV/atom: 0.110
Space-group type: C2/c (15)
Energy, eV for the cell shown: -93.3



# 3
Computed, not measured: an optimized crystal structure of Zn2NiSb at the PBE level of DFT.

a b c (Å): 5.8177 5.8177 3.1059
angles (deg): 72.19 72.19 122.30
Atoms (fractional coordinates):
Zn (0.5000, 0.5000, 0.0000)
Zn (0.0000, 0.0000, 0.0000)
Sb (0.0000, 0.5000, 0.5000)
Ni (0.5000, 0.0000, 0.5000)

Results
Crystal system: monoclinic
Formation energy without anion corrections, eV per atom: 0.11
Space-group type: C2/m (12)
Energy, eV for the cell shown: -12.0